! HfZr2TcN, optimized geometry, DFT PBE; values from VASP
! ΔE_f (raw) = -322 kJ/mol of formula units
! Calculated density = 9.0 g/cm3
&SYSTEM
  ibrav = 0, nat = 5, ntyp = 4
/
ATOMIC_SPECIES
N 14.01 N.upf
Tc 98.00 Tc.upf
Zr 91.22 Zr.upf
Hf 178.49 Hf.upf
ATOMIC_POSITIONS crystal
N 0.0000 0.0000 0.0000
Tc 0.5000 0.5000 0.5000
Zr 0.0000 0.5000 0.0000
Hf 0.0000 0.0000 0.5000
Zr 0.5000 0.0000 0.0000
CELL_PARAMETERS angstrom
4.4984 0.0000 0.0000
0.0000 4.4984 0.0000
0.0000 0.0000 4.2909